1.
{"formula": "Na2CdH4S2O10", "functional": "SCAN", "state": "single point on PBEsol structure", "cell": [[-3.982, 3.919, -0.095], [-1.355, -3.701, 4.359], [6.877, 7.187, 8.240]], "species": ["Na", "Na", "Na", "Na", "Cd", "Cd", "H", "H", "H", "H", "H", "H", "H", "H", "S", "S", "S", "S", "O", "O", "O", "O", "O", "O", "O", "O", "O", "O", "O", "O", "O", "O", "O", "O", "O", "O", "O", "O"], "frac_coords": [[0.233, 0.413, 0.383], [0.267, 0.587, 0.883], [0.767, 0.587, 0.617], [0.733, 0.413, 0.117], [0.500, 0.000, 0.500], [0.000, 0.000, 0.000], [0.491, 0.090, 0.287], [0.009, 0.910, 0.787], [0.509, 0.910, 0.713], [0.991, 0.090, 0.213], [0.676, 0.327, 0.337], [0.824, 0.673, 0.837], [0.324, 0.673, 0.663], [0.176, 0.327, 0.163], [0.915, 0.757, 0.381], [0.585, 0.243, 0.881], [0.085, 0.243, 0.619], [0.415, 0.757, 0.119], [0.977, 0.991, 0.330], [0.523, 0.009, 0.830], [0.023, 0.009, 0.670], [0.477, 0.991, 0.170], [0.670, 0.708, 0.438], [0.830, 0.292, 0.938], [0.330, 0.292, 0.562], [0.170, 0.708, 0.062], [0.111, 0.751, 0.460], [0.389, 0.249, 0.960], [0.889, 0.249, 0.540], [0.611, 0.751, 0.040], [0.899, 0.561, 0.306], [0.601, 0.439, 0.806], [0.101, 0.439, 0.694], [0.399, 0.561, 0.194], [0.517, 0.194, 0.350], [0.983, 0.806, 0.850], [0.483, 0.806, 0.650], [0.017, 0.194, 0.150]], "e_tot_ev_per_cell": -329.46, "sg": "P2_1/c (14)"}

=====

2.
{"formula": "CuIr2Au", "functional": "SCAN", "state": "single point on PBEsol structure", "cell": [[-2.075, -0.520, 1.637], [2.940, -1.152, 3.359], [0.052, 4.419, 1.470]], "species": ["Au", "Cu", "Ir", "Ir"], "frac_coords": [[0.500, 0.000, 0.500], [0.000, 0.500, 0.500], [0.000, 0.000, 0.000], [0.500, 0.500, 0.000]], "de_polymorph_ev_per_atom": 0.094, "sg": "Pmmm (47)"}

=====

3.
{"formula": "BeHgSCl2", "functional": "SCAN", "state": "single point on PBEsol structure", "cell": [[4.143, 0.000, 0.000], [0.000, 4.143, 0.000], [0.000, 0.000, 5.430]], "species": ["Be", "S", "Hg", "Cl", "Cl"], "frac_coords": [[0.000, 0.000, 0.000], [0.000, 0.000, 0.500], [0.500, 0.500, 0.500], [0.000, 0.500, 0.000], [0.500, 0.000, 0.000]], "formation_energy_uncorrected_ev_per_atom": -0.375, "sg": "P4/mmm (123)"}

=====

4.
{"formula": "Ti2GaNiHg", "functional": "SCAN", "state": "single point on PBEsol structure", "cell": [[-3.411, 0.539, 2.684], [-2.343, -3.037, -2.368], [1.572, -3.285, 2.658]], "species": ["Ni", "Hg", "Ga", "Ti", "Ti"], "frac_coords": [[0.000, 0.000, 0.000], [0.500, 0.500, 0.500], [0.500, 0.000, 0.000], [0.000, 0.000, 0.500], [0.000, 0.500, 0.000]], "e_tot_ev_per_cell": -132.52, "sg": "P4/mmm (123)"}

=====

5.
{"formula": "CrOs2Pt", "functional": "SCAN", "state": "single point on PBEsol structure", "cell": [[-2.423, 0.017, -1.213], [-1.292, -3.319, 2.536], [0.263, 4.738, 2.566]], "species": ["Cr", "Os", "Os", "Pt"], "frac_coords": [[0.000, 0.500, 0.000], [0.715, 0.715, 0.430], [0.285, 0.285, 0.570], [0.500, 0.000, 0.000]], "e_tot_ev_per_cell": -231.64, "sg": "Immm (71)"}

=====

6.
{"formula": "Ni2MoPb", "functional": "SCAN", "state": "single point on PBEsol structure", "cell": [[2.930, 0.000, 0.000], [1.465, 2.537, 0.000], [1.465, 0.846, 8.399]], "species": ["Mo", "Ni", "Ni", "Pb"], "frac_coords": [[0.000, 0.000, 0.000], [0.258, 0.258, 0.227], [0.742, 0.742, 0.773], [0.500, 0.500, 0.500]], "e_tot_ev_per_cell": -140.60, "sg": "R-3m (166)"}